Entry 1:
12
Lattice="-2.9004 -0.9451 -1.1763 0.3835 -5.6664 3.6070 -3.5283 4.1752 5.3449" Properties=species:S:1:pos:R:3 comment="TmTaVC3 | Alexandria | PBE | optimized geometry" final_energy_ev_per_atom=-9.0283 space_group="No. 11" pbc="T T T"
Tm -1.3335 -0.3408 1.2901
V -2.7598 1.5284 3.3050
C -2.5146 -2.5107 1.4021
C -2.2773 -2.6758 5.4931
C -2.3684 -5.0029 3.0442
C -3.7678 0.2396 2.2825
C -3.6767 2.5667 4.7315
Ta -0.9149 -3.3783 2.6983
Tm -4.7116 -2.0955 6.4855
Ta -5.1303 0.9421 5.0773
C -3.5305 0.0745 6.3735
V -3.2853 -3.9646 4.4707

Entry 2:
12
Lattice="3.2767 0.0000 0.0000 0.0000 5.5196 0.2002 0.0000 -1.9892 8.0488" Properties=species:S:1:pos:R:3 comment="TmTaWC3 | Alexandria | PBE | optimized geometry" final_energy_ev_per_atom=-9.8402 space_group="No. 11" pbc="T T T"
C 0.8192 0.7427 6.8649
C 2.4576 -0.1049 1.2659
C 2.4576 0.3115 4.1873
W 0.8192 -0.5264 5.1646
C 0.8192 3.6352 6.9831
Ta 2.4576 -0.5987 7.7699
Tm 2.4576 2.1909 5.6852
Tm 0.8192 1.3395 2.5637
W 2.4576 4.0568 3.0844
C 2.4576 2.7877 1.3841
C 0.8192 3.2189 4.0617
Ta 0.8192 4.1290 0.4791

Entry 3:
4
Lattice="5.9445 0.0106 0.0064 5.0507 3.1349 0.0064 5.0507 1.4449 2.7821" Properties=species:S:1:pos:R:3 comment="UTaC2 | Alexandria | PBE | optimized geometry" e_above_lowest_polymorph_mev_per_atom=0.0 space_group="No. 166" pbc="T T T"
C 4.1498 1.1872 0.7228
C 11.8962 3.4033 2.0722
Ta 0.0000 0.0000 0.0000
U 8.0230 2.2952 1.3975

Entry 4:
14
Lattice="-2.1351 2.2411 0.7568 -0.8059 -4.1831 3.4051 6.6922 4.1281 6.6553" Properties=species:S:1:pos:R:3 comment="UTa2C4 | Alexandria | PBE | optimized geometry" final_energy_ev_per_atom=-10.3650 space_group="No. 63" pbc="T T T"
Ta 3.8435 2.7491 9.4106
C 2.2785 3.1846 3.7061
C -1.2208 -0.0004 3.2654
Ta 2.4441 1.0017 3.9291
C -1.0675 1.1205 0.3784
C 1.4872 0.7283 2.0391
C 4.9719 2.1865 7.5518
U 3.5531 3.5652 6.1747
C 3.3362 1.1775 5.9251
Ta 1.3070 1.1845 6.8881
C 0.4149 1.0086 4.8921
Ta -0.0924 -0.5630 1.4066
C 2.2639 1.4579 8.7781
U 0.1981 -1.3791 4.6425

Entry 5:
6
Lattice="-7.0439 -2.0295 2.1047 -7.3822 0.6987 -1.7836 7.3614 -1.2738 -1.5341" Properties=species:S:1:pos:R:3 comment="U2TaC3 | Alexandria | PBE | optimized geometry" final_energy_ev_per_atom=-10.6177 space_group="No. 139" pbc="T T T"
U -4.8528 -0.4477 0.1080
U -9.5733 -0.8832 0.2131
Ta 0.0000 0.0000 0.0000
C -2.2416 -0.2068 0.0499
C -12.1845 -1.1241 0.2712
C -7.2130 -0.6654 0.1606

Entry 6:
4
Lattice="-0.2175 -3.1270 -0.6586 1.8806 -2.0935 1.5298 -3.5184 -2.3389 4.4778" Properties=species:S:1:pos:R:3 comment="UTaC2 | Alexandria | PBE | optimized geometry" e_above_lowest_polymorph_mev_per_atom=242.3 space_group="No. 160" pbc="T T T"
Ta -2.3696 -5.8133 5.0173
C -0.3556 -1.8739 1.2260
C -2.6123 -2.2057 3.5462
U -0.9639 -3.7850 2.7117

Entry 7:
4
Lattice="-3.8030 -2.5794 -2.0114 0.8527 -4.4397 -2.1733 -1.4880 -3.8547 1.5021" Properties=species:S:1:pos:R:3 comment="U2TaC | Alexandria | PBE | optimized geometry" final_energy_ev_per_atom=-9.9569 space_group="No. 166" pbc="T T T"
U -1.1469 -2.8306 -0.4562
Ta -2.2192 -5.4370 -1.3413
C 0.0000 0.0000 0.0000
U -3.2914 -8.0433 -2.2264

Entry 8:
6
Lattice="-3.1397 -0.7343 -0.3270 0.4510 0.1262 -4.6144 2.4785 -4.5358 2.4491" Properties=species:S:1:pos:R:3 comment="UTa2C3 | Alexandria | PBE | optimized geometry" final_energy_ev_per_atom=-10.9326 space_group="No. 71" pbc="T T T"
U -0.1051 -2.5719 -1.2461
C 1.8605 -3.8932 -1.0902
C -0.3306 -2.6351 1.0611
C -2.0706 -1.2507 -1.4021
Ta -1.8351 -1.2301 -3.7095
Ta 1.6250 -3.9138 1.2172

Number 1: calculated volume 13.9 Å³ per atom. Number 2: calculated volume 12.2 Å³ per atom. Number 3: calculated volume 12.9 Å³ per atom. Number 4: calculated volume 12.2 Å³ per atom. Number 5: calculated volume 13.7 Å³ per atom. Number 6: calculated volume 13.0 Å³ per atom. Number 7: calculated volume 18.0 Å³ per atom. Number 8: calculated volume 12.5 Å³ per atom.